(1)
NpCoW PBE relaxed; energy relative to the lowest polymorph listed for this composition = 0.000 eV per atom; ΔH_f (0 K) = 0.777 eV/atom; space group = No. 216
1.0
0.0000 2.9865 2.9865
2.9865 0.0000 2.9865
2.9865 2.9865 0.0000
Co Np W
1 1 1
Direct
0.0000 0.0000 0.0000
0.2500 0.2500 0.2500
0.7500 0.7500 0.7500


(2)
CsHfB PBE relaxed; energy relative to the lowest polymorph listed for this composition = 0.799 eV per atom; space group = No. 216
1.0
0.0000 3.2856 3.2856
3.2856 0.0000 3.2856
3.2856 3.2856 0.0000
Cs Hf B
1 1 1
Direct
0.0000 0.0000 0.0000
0.7500 0.7500 0.7500
0.2500 0.2500 0.2500


(3)
LiCdGaHg PBE relaxed; energy relative to the lowest polymorph listed for this composition = 0.012 eV per atom; space group = No. 216
1.0
-0.5941 -3.5198 -3.2615
-3.0866 0.6030 -3.6726
1.6772 0.5652 -4.4997
Li Cd Hg Ga
1 1 1 1
Direct
0.7500 0.7500 0.7500
0.2500 0.2500 0.2500
0.0000 0.0000 0.0000
0.5000 0.5000 0.5000